# 1
The following is a GGA-PBE calculation of a geometry-optimized YCuIO2 structure, from Alexandria via LeMat-Bulk.

a = 4.227 Å, b = 4.227 Å, c = 4.749 Å
α = 90.00°, β = 90.00°, γ = 90.00°
Fractional positions:
Y (0.000, 0.000, 0.000)
Cu (0.500, 0.500, 0.500)
I (0.500, 0.500, 0.000)
O (0.000, 0.500, 0.500)
O (0.500, 0.000, 0.500)

## Properties
Distance to the lowest polymorph of the same formula: 466 meV/atom
E_form (uncorrected): -0.559 eV per atom

***

# 2
The following is a GGA-PBE calculation of a geometry-optimized YCuI2O structure, from Alexandria via LeMat-Bulk.

a = 5.635 Å, b = 5.635 Å, c = 3.698 Å
α = 90.00°, β = 90.00°, γ = 90.00°
Fractional positions:
Y (0.000, 0.000, 0.000)
Cu (0.500, 0.500, 0.500)
I (0.000, 0.500, 0.500)
I (0.500, 0.000, 0.500)
O (0.500, 0.500, 0.000)

## Properties
Distance to the lowest polymorph of the same formula: 377 meV/atom
E_form (uncorrected): -0.475 eV per atom

***

# 3
The following is a GGA-PBE calculation of a geometry-optimized ZnCu2IO structure, from Alexandria via LeMat-Bulk.

a = 5.045 Å, b = 5.045 Å, c = 4.043 Å
α = 90.00°, β = 90.00°, γ = 90.00°
Fractional positions:
Zn (0.000, 0.000, 0.000)
Cu (0.000, 0.500, 0.500)
Cu (0.500, 0.000, 0.500)
I (0.500, 0.500, 0.500)
O (0.500, 0.500, 0.000)

## Properties
E_form (uncorrected): 0.683 eV per atom

***

# 4
The following is a GGA-PBE calculation of a geometry-optimized ZrCuI2O structure, from Alexandria via LeMat-Bulk.

a = 5.845 Å, b = 5.845 Å, c = 4.006 Å
α = 90.00°, β = 90.00°, γ = 90.00°
Fractional positions:
Zr (0.000, 0.000, 0.000)
Cu (0.500, 0.500, 0.500)
I (0.000, 0.500, 0.000)
I (0.500, 0.000, 0.000)
O (0.000, 0.000, 0.500)

## Properties
Distance to the lowest polymorph of the same formula: 0 meV/atom
E_form (uncorrected): -0.720 eV per atom

***

# 5
The following is a GGA-PBE calculation of a geometry-optimized ZrCuI2O structure, from Alexandria via LeMat-Bulk.

a = 5.561 Å, b = 5.561 Å, c = 3.592 Å
α = 90.00°, β = 90.00°, γ = 90.00°
Fractional positions:
Zr (0.000, 0.000, 0.000)
Cu (0.500, 0.500, 0.500)
I (0.000, 0.500, 0.500)
I (0.500, 0.000, 0.500)
O (0.500, 0.500, 0.000)

## Properties
Distance to the lowest polymorph of the same formula: 696 meV/atom
E_form (uncorrected): -0.024 eV per atom

***

# 6
The following is a GGA-PBE calculation of a geometry-optimized Cu2OsI8 structure, from Alexandria via LeMat-Bulk.

a = 8.745 Å, b = 8.745 Å, c = 6.587 Å
α = 99.06°, β = 99.06°, γ = 52.87°
Fractional positions:
Cu (0.160, 0.160, 0.141)
Cu (0.840, 0.840, 0.859)
Os (0.000, 0.000, 0.500)
I (0.155, 0.155, 0.750)
I (0.174, 0.700, 0.731)
I (0.300, 0.826, 0.269)
I (0.321, 0.321, 0.273)
I (0.679, 0.679, 0.727)
I (0.700, 0.174, 0.731)
I (0.826, 0.300, 0.269)
I (0.845, 0.845, 0.250)

## Properties
E_form (uncorrected): 0.041 eV per atom

***

# 7
The following is a GGA-PBE calculation of a geometry-optimized Cu3OsI structure, from Alexandria via LeMat-Bulk.

a = 4.778 Å, b = 4.778 Å, c = 4.778 Å
α = 90.00°, β = 90.00°, γ = 90.00°
Fractional positions:
Cu (0.000, 0.000, 0.500)
Cu (0.000, 0.500, 0.000)
Cu (0.500, 0.000, 0.000)
Os (0.000, 0.000, 0.000)
I (0.500, 0.500, 0.500)

## Properties
Distance to the lowest polymorph of the same formula: 0 meV/atom
E_form (uncorrected): 1.297 eV per atom

***

# 8
The following is a GGA-PBE calculation of a geometry-optimized CuOsI3 structure, from Alexandria via LeMat-Bulk.

a = 5.441 Å, b = 5.441 Å, c = 5.441 Å
α = 90.00°, β = 90.00°, γ = 90.00°
Fractional positions:
Cu (0.000, 0.000, 0.000)
Os (0.500, 0.500, 0.500)
I (0.000, 0.500, 0.500)
I (0.500, 0.000, 0.500)
I (0.500, 0.500, 0.000)

## Properties
Distance to the lowest polymorph of the same formula: 0 meV/atom
E_form (uncorrected): 0.986 eV per atom

***

# 9
The following is a GGA-PBE calculation of a geometry-optimized Cu2OsI structure, from Alexandria via LeMat-Bulk.

a = 6.377 Å, b = 6.377 Å, c = 6.377 Å
α = 118.89°, β = 118.89°, γ = 91.93°
Fractional positions:
Cu (0.098, 0.625, 0.973)
Cu (0.375, 0.348, 0.473)
Cu (0.652, 0.125, 0.027)
Cu (0.875, 0.902, 0.527)
Os (0.000, 0.000, 0.000)
Os (0.750, 0.250, 0.500)
I (0.250, 0.750, 0.500)
I (0.500, 0.500, 0.000)

## Properties
Distance to the lowest polymorph of the same formula: 39 meV/atom
E_form (uncorrected): 1.313 eV per atom

***

# 10
The following is a GGA-PBE calculation of a geometry-optimized Cu2OsI structure, from Alexandria via LeMat-Bulk.

a = 4.515 Å, b = 4.515 Å, c = 4.515 Å
α = 60.00°, β = 60.00°, γ = 60.00°
Fractional positions:
Cu (0.250, 0.250, 0.250)
Cu (0.750, 0.750, 0.750)
Os (0.000, 0.000, 0.000)
I (0.500, 0.500, 0.500)

## Properties
Distance to the lowest polymorph of the same formula: 0 meV/atom
E_form (uncorrected): 1.274 eV per atom

***

# 11
The following is a GGA-PBE calculation of a geometry-optimized CuOs2I structure, from Alexandria via LeMat-Bulk.

a = 9.873 Å, b = 9.873 Å, c = 9.873 Å
α = 156.69°, β = 156.69°, γ = 33.19°
Fractional positions:
Cu (0.000, 0.000, 0.000)
Cu (0.750, 0.250, 0.500)
Os (0.042, 0.625, 0.917)
Os (0.375, 0.292, 0.417)
Os (0.708, 0.125, 0.083)
Os (0.875, 0.958, 0.583)
I (0.250, 0.750, 0.500)
I (0.500, 0.500, 0.000)

## Properties
Distance to the lowest polymorph of the same formula: 0 meV/atom
E_form (uncorrected): 1.234 eV per atom

***

# 12
The following is a GGA-PBE calculation of a geometry-optimized CuOs2I structure, from Alexandria via LeMat-Bulk.

a = 4.444 Å, b = 4.444 Å, c = 4.444 Å
α = 60.00°, β = 60.00°, γ = 60.00°
Fractional positions:
Cu (0.000, 0.000, 0.000)
Os (0.250, 0.250, 0.250)
Os (0.750, 0.750, 0.750)
I (0.500, 0.500, 0.500)

## Properties
Distance to the lowest polymorph of the same formula: 6 meV/atom
E_form (uncorrected): 1.240 eV per atom

***

Record-wise DOS(E_F) values, in states/eV/f.u.: 0.738; 6.464; 2.085; 2.433; 4.232; 9.433; 2.559; 4.840; 1.149; 4.051; 5.433; 2.041